Material: AcInGa2
Method: DFT, PBE-GGA
State: relaxed

Unit cell a=3.8152 b=3.8152 c=7.1192 alpha=90.00 beta=90.00 gamma=90.00
Closest atoms and distances in Å follow each position.
Positions (direct):
1 Ac 0.0000 0.0000 0.0000  8 Ga 3.46, 2 In 3.56, 4 Ac 3.82
2 In 0.0000 0.0000 0.5000  8 Ga 3.04
3 Ga 0.5000 0.5000 0.3038  1 Ga 2.79, 4 In 3.04
4 Ga 0.5000 0.5000 0.6962  1 Ga 2.79, 4 In 3.04

## Properties
The density comes out at 7.71 Mg/m³. The calculation puts the total energy at -3.4923 eV per atom. For the volume, the calculation gives 25.9 Å³ per atom.

---

Material: LaNp2Ni9
Method: DFT, PBE-GGA
State: relaxed

Unit cell a=4.9492 b=4.9492 c=16.3305 alpha=90.00 beta=90.00 gamma=120.00
Closest atoms and distances in Å follow each position.
Positions (direct):
1 La 0.3333 0.6667 0.2500  6 Ni 2.86
2 La 0.6667 0.3333 0.7500  6 Ni 2.86
3 Np 0.3333 0.6667 0.0325  12 Ni 2.89-2.93, 3 Np 3.05
4 Np 0.3333 0.6667 0.4675  12 Ni 2.89-2.93, 3 Np 3.05
5 Np 0.6667 0.3333 0.5325  12 Ni 2.89-2.93, 3 Np 3.05
6 Np 0.6667 0.3333 0.9675  12 Ni 2.89-2.93, 3 Np 3.05
7 Ni 0.0000 0.0000 0.0000  6 Ni 2.48
8 Ni 0.0000 0.0000 0.2500  6 Ni 2.50
9 Ni 0.0000 0.0000 0.5000  6 Ni 2.48
10 Ni 0.0000 0.0000 0.7500  6 Ni 2.50
11 Ni 0.1669 0.3338 0.6244  7 Ni 2.47-2.50
12 Ni 0.1669 0.3338 0.8756  7 Ni 2.47-2.50
13 Ni 0.1669 0.8331 0.6244  7 Ni 2.47-2.50
14 Ni 0.1669 0.8331 0.8756  7 Ni 2.47-2.50
15 Ni 0.3333 0.6667 0.7500  6 Ni 2.50
16 Ni 0.3338 0.1669 0.1244  7 Ni 2.47-2.50
17 Ni 0.3338 0.1669 0.3756  7 Ni 2.47-2.50
18 Ni 0.6662 0.8331 0.6244  7 Ni 2.47-2.50
19 Ni 0.6662 0.8331 0.8756  7 Ni 2.47-2.50
20 Ni 0.6667 0.3333 0.2500  6 Ni 2.50
21 Ni 0.8331 0.1669 0.1244  7 Ni 2.47-2.50
22 Ni 0.8331 0.1669 0.3756  7 Ni 2.47-2.50
23 Ni 0.8331 0.6662 0.1244  7 Ni 2.47-2.50
24 Ni 0.8331 0.6662 0.3756  7 Ni 2.47-2.50

## Properties
The density comes out at 10.94 Mg/m³. The calculation puts the total energy at -7.1242 eV per atom. For the volume, the calculation gives 14.4 Å³ per atom.

---

Material: YGe2Se
Method: DFT, PBE-GGA
State: relaxed

Unit cell a=6.3534 b=6.3534 c=6.3534 alpha=101.48 beta=101.48 gamma=127.01
Closest atoms and distances in Å follow each position.
Positions (direct):
1 Y 0.0000 0.0000 0.0000  2 Se 2.83, 4 Ge 3.03
2 Y 0.7500 0.2500 0.5000  2 Se 2.83, 4 Ge 3.03
3 Ge 0.1434 0.6250 0.0184  2 Se 2.83, 2 Ge 2.85, 2 Y 3.03
4 Ge 0.3750 0.3934 0.5184  2 Se 2.83, 2 Ge 2.85, 2 Y 3.03
5 Ge 0.6066 0.1250 0.9816  2 Se 2.83, 2 Ge 2.85, 2 Y 3.03
6 Ge 0.8750 0.8566 0.4816  2 Se 2.83, 2 Ge 2.85, 2 Y 3.03
7 Se 0.2500 0.7500 0.5000  4 Ge 2.83, 2 Y 2.83
8 Se 0.5000 0.5000 0.0000  4 Ge 2.83, 2 Y 2.83

## Properties
The value obtained for the raw formation energy is -266 meV per atom. The density comes out at 5.67 Mg/m³. For the volume, the calculation gives 22.9 Å³ per atom.

---

Material: PrEr7Tl5
Method: DFT, PBE-GGA
State: relaxed

Unit cell a=8.3082 b=8.3082 c=8.3082 alpha=134.16 beta=98.38 gamma=99.07
Closest atoms and distances in Å follow each position.
Positions (direct):
1 Pr 0.0000 0.0000 0.0000  10 Er 3.66-4.01, 4 Tl 3.98
2 Er 0.1801 0.4795 0.7006  5 Tl 3.16-3.22, 2 Er 3.39-3.54
3 Er 0.2203 0.7203 0.5000  4 Tl 3.06, 4 Er 3.39-3.42
4 Er 0.3392 0.9956 0.3436  5 Tl 3.26-3.36, 4 Er 3.40-3.59
5 Er 0.3504 0.3504 0.0000  4 Tl 3.31, 5 Er 3.34-3.54
6 Er 0.6520 0.9956 0.6564  5 Tl 3.26-3.36, 4 Er 3.40-3.59
7 Er 0.6605 0.6605 0.0000  1 Er 3.34, 6 Tl 3.35-3.41, 1 Pr 3.66
8 Er 0.7789 0.4795 0.2994  5 Tl 3.16-3.22, 2 Er 3.39-3.54
9 Tl 0.4749 0.4866 0.4910  7 Er 3.06-3.36, 3 Tl 3.22-3.27
10 Tl 0.4749 0.9839 0.9883  7 Er 3.06-3.36, 3 Tl 3.22-3.27
11 Tl 0.7603 0.2603 0.5000  6 Er 3.21-3.41, 4 Tl 3.27
12 Tl 0.9956 0.4866 0.0117  7 Er 3.06-3.36, 3 Tl 3.22-3.27
13 Tl 0.9956 0.9839 0.5090  7 Er 3.06-3.36, 3 Tl 3.22-3.27

## Properties
The density comes out at 10.23 Mg/m³. The calculation puts the total energy at -3.8814 eV per atom. For the volume, the calculation gives 29.1 Å³ per atom.

---

Material: Ho2ErMg4
Method: DFT, PBE-GGA
State: relaxed

Unit cell a=8.0881 b=8.0881 c=8.0881 alpha=141.22 beta=141.22 gamma=56.00
Closest atoms and distances in Å follow each position.
Positions (direct):
1 Ho 0.2496 0.2496 0.0000  8 Mg 3.29, 1 Er 3.57
2 Ho 0.7504 0.7504 0.0000  8 Mg 3.29, 1 Er 3.57
3 Er 0.0000 0.0000 0.0000  8 Mg 3.16
4 Mg 0.1171 0.6171 0.5000  2 Er 3.16, 4 Ho 3.29, 1 Mg 3.35
5 Mg 0.3829 0.8829 0.5000  2 Er 3.16, 4 Ho 3.29, 1 Mg 3.35
6 Mg 0.6171 0.1171 0.5000  2 Er 3.16, 4 Ho 3.29, 1 Mg 3.35
7 Mg 0.8829 0.3829 0.5000  2 Er 3.16, 4 Ho 3.29, 1 Mg 3.35

## Properties
The density comes out at 4.79 Mg/m³. The calculation puts the total energy at -2.7224 eV per atom. For the volume, the calculation gives 29.4 Å³ per atom.

---

Material: TiTcP
Method: DFT, PBE-GGA
State: relaxed

Unit cell a=3.2265 b=3.9792 c=6.5535 alpha=90.00 beta=90.00 gamma=90.00
Closest atoms and distances in Å follow each position.
Positions (direct):
1 Ti 0.0000 0.0000 0.0000  4 P 2.52-2.67, 6 Tc 2.56-2.73
2 Ti 0.0000 0.5000 0.3683  5 P 2.35-2.61
3 Tc 0.5000 0.0000 0.6637  5 P 2.42-2.60
4 Tc 0.5000 0.5000 0.0110  4 P 2.46-2.72, 4 Ti 2.56
5 P 0.0000 0.5000 0.7272  1 Ti 2.35, 6 Tc 2.46-2.60
6 P 0.5000 0.0000 0.2945  1 Tc 2.42, 6 Ti 2.52-2.61

## Properties
The density comes out at 6.98 Mg/m³. The calculation puts the total energy at -8.6856 eV per atom. For the volume, the calculation gives 14.0 Å³ per atom.

---

Material: Al2HAu2
Method: DFT, PBE-GGA
State: relaxed

Unit cell a=6.4385 b=6.4385 c=6.4385 alpha=143.24 beta=143.24 gamma=52.96
Closest atoms and distances in Å follow each position.
Positions (direct):
1 Al 0.2500 0.7500 0.5000  4 Au 2.55
2 Al 0.7500 0.2500 0.5000  4 Au 2.55
3 H 0.0000 0.0000 0.0000  8 Au 3.17, 8 Al 3.52
4 Au 0.3843 0.3843 0.0000  4 Al 2.55, 1 Au 2.67
5 Au 0.6157 0.6157 0.0000  4 Al 2.55, 1 Au 2.67

## Properties
The density comes out at 7.85 Mg/m³. The calculation puts the total energy at -3.1506 eV per atom. For the volume, the calculation gives 19.0 Å³ per atom.

---

Material: GePdBr2
Method: DFT, PBE-GGA
State: relaxed

Unit cell a=8.8587 b=8.8587 c=8.8587 alpha=24.85 beta=24.85 gamma=24.85
Closest atoms and distances in Å follow each position.
Positions (direct):
1 Ge 0.0000 0.0000 0.0000  6 Br 2.87
2 Pd 0.5000 0.5000 0.5000  2 Br 2.45
3 Br 0.4047 0.4047 0.4047  1 Pd 2.45
4 Br 0.5953 0.5953 0.5953  1 Pd 2.45

## Properties
The value obtained for the raw formation energy is 41 meV per atom. The density comes out at 5.21 Mg/m³. For the volume, the calculation gives 27.0 Å³ per atom.

---

Material: Pr2Sm7In2
Method: DFT, PBE-GGA
State: relaxed

Unit cell a=6.9106 b=6.9106 c=9.2230 alpha=90.00 beta=90.00 gamma=120.67
Closest atoms and distances in Å follow each position.
Positions (direct):
1 Pr 0.2363 0.2363 0.0000  2 Pr 3.23-3.61, 6 Sm 3.44-3.54
2 Pr 0.7637 0.7637 0.0000  2 Pr 3.23-3.61, 6 Sm 3.44-3.54
3 Sm 0.0000 0.0000 0.5000  2 In 3.24
4 Sm 0.0000 0.5000 0.2026  2 In 3.24, 4 Sm 3.42-3.61, 2 Pr 3.54
5 Sm 0.0000 0.5000 0.7974  2 In 3.24, 4 Sm 3.42-3.61, 2 Pr 3.54
6 Sm 0.5000 0.0000 0.2026  2 In 3.24, 4 Sm 3.42-3.61, 2 Pr 3.54
7 Sm 0.5000 0.0000 0.7974  2 In 3.24, 4 Sm 3.42-3.61, 2 Pr 3.54
8 Sm 0.5000 0.5000 0.3177  2 In 3.24, 5 Sm 3.36-3.61, 2 Pr 3.44
9 Sm 0.5000 0.5000 0.6823  2 In 3.24, 5 Sm 3.36-3.61, 2 Pr 3.44
10 In 0.2698 0.7302 0.5000  7 Sm 3.24, 2 In 3.45
11 In 0.7302 0.2698 0.5000  7 Sm 3.24, 2 In 3.45

## Properties
The density comes out at 6.86 Mg/m³. The calculation puts the total energy at -4.2523 eV per atom. For the volume, the calculation gives 34.4 Å³ per atom.

---

Material: CeSmSnN
Method: DFT, PBE-GGA
State: relaxed

Unit cell a=4.6813 b=4.6813 c=8.9913 alpha=90.00 beta=90.00 gamma=90.00
Closest atoms and distances in Å follow each position.
Positions (direct):
1 Ce 0.2500 0.2500 0.1749  1 N 2.12
2 Ce 0.7500 0.7500 0.8251  1 N 2.12
3 Sm 0.2500 0.7500 0.5000  4 N 2.48
4 Sm 0.7500 0.2500 0.5000  4 N 2.48
5 Sn 0.2500 0.2500 0.8011  5 Ce 3.32-3.36, 1 N 3.51, 4 Sm 3.58
6 Sn 0.7500 0.7500 0.1989  5 Ce 3.32-3.36, 1 N 3.51, 4 Sm 3.58
7 N 0.2500 0.2500 0.4105  1 Ce 2.12
8 N 0.7500 0.7500 0.5895  1 Ce 2.12

## Properties
The value obtained for the raw formation energy is -1069 meV per atom. The density comes out at 7.13 Mg/m³. For the volume, the calculation gives 24.6 Å³ per atom.

---

Material: PrEr3Mg8
Method: DFT, PBE-GGA
State: relaxed

Unit cell a=6.0688 b=6.0688 c=9.8018 alpha=90.00 beta=90.00 gamma=120.00
Closest atoms and distances in Å follow each position.
Positions (direct):
1 Pr 0.0000 0.0000 0.0000  12 Mg 3.54-3.56, 4 Er 3.67-3.75
2 Er 0.0000 0.0000 0.3742  12 Mg 3.47-3.55, 1 Pr 3.67, 3 Er 3.70
3 Er 0.6667 0.3333 0.4957  12 Mg 3.48-3.56, 4 Er 3.61-3.70
4 Er 0.6667 0.3333 0.8644  12 Mg 3.52-3.59, 1 Er 3.61, 3 Pr 3.75
5 Mg 0.1631 0.3262 0.6817  6 Mg 2.97-3.10
6 Mg 0.1631 0.8369 0.6817  6 Mg 2.97-3.10
7 Mg 0.3333 0.6667 0.4340  6 Mg 3.02
8 Mg 0.3333 0.6667 0.9337  6 Mg 3.05-3.06
9 Mg 0.5044 0.0088 0.1862  6 Mg 2.95-3.11
10 Mg 0.5044 0.4956 0.1862  6 Mg 2.95-3.11
11 Mg 0.6738 0.8369 0.6817  6 Mg 2.97-3.10
12 Mg 0.9912 0.4956 0.1862  6 Mg 2.95-3.11

## Properties
The density comes out at 4.45 Mg/m³. The calculation puts the total energy at -2.6697 eV per atom. For the volume, the calculation gives 26.1 Å³ per atom.

---

Material: LaS2BrCl
Method: DFT, PBE-GGA
State: relaxed

Unit cell a=5.7567 b=5.7567 c=5.4586 alpha=90.00 beta=90.00 gamma=90.00
Closest atoms and distances in Å follow each position.
Positions (direct):
1 La 0.0000 0.0000 0.0000  2 Cl 2.73, 4 S 2.88
2 S 0.0000 0.5000 0.0000  2 La 2.88
3 S 0.5000 0.0000 0.0000  2 La 2.88
4 Br 0.5000 0.5000 0.5000  8 S 3.97, 4 Cl 4.07
5 Cl 0.0000 0.0000 0.5000  2 La 2.73

## Properties
The value obtained for the raw formation energy is -600 meV per atom. The density comes out at 2.92 Mg/m³. For the volume, the calculation gives 36.2 Å³ per atom.